First-principles (PBE-GGA) data for a relaxed PaFe2NiGe2 crystal, as listed in the Alexandria database.

Results
Its total energy is -40.4 eV/cell. The value obtained for the density is 9.00 Mg/m³. As for the total magnetization: 3.1 μB per cell.

Unit cell a=4.477 b=4.477 c=5.035 alpha=90.00 beta=90.00 gamma=90.00
Fractional positions:
Pa 0.000 0.000 0.000
Fe 0.500 0.500 0.229
Fe 0.500 0.500 0.771
Ni 0.000 0.000 0.500
Ge 0.000 0.500 0.500
Ge 0.500 0.000 0.500